Material: RbTi2AlF
Method: DFT, PBE
State: optimized geometry

Cell: 4.791 4.791 5.754 Å, 90.00 90.00 90.00°
Element x y z (fractional)
1 Rb 0.000 0.000 0.000
2 Ti 0.000 0.500 0.000
3 Ti 0.500 0.000 0.000
4 Al 0.000 0.000 0.500
5 F 0.500 0.500 0.500

Values from the calculation:
Total moment: 0.340 μB/atom
Space-group type: P4/mmm, No. 123
Formation energy from raw total energies: 1.954 eV/atom